# 1
DFT (GGA-PBEsol) results for crystalline YNi4Pt at its relaxed geometry.

a = 6.808 Å, b = 6.808 Å, c = 6.808 Å
α = 90.00°, β = 90.00°, γ = 90.00°
Space group F-43m (No. 216)
Asymmetric unit:
Y  0.000  0.000  0.000 x4
Ni  0.124  0.124  0.376 x16
Pt  0.250  0.250  0.750 x4

Summary:
* DFT formation energy: -0.391 eV per atom
* total magnetic moment: 0.01 μB per formula unit

=====

# 2
DFT (GGA-PBEsol) results for crystalline Y2Ni2Pt at its relaxed geometry.

a = 6.895 Å, b = 6.895 Å, c = 3.690 Å
α = 90.00°, β = 90.00°, γ = 90.00°
Space group P4/mbm (No. 127)
Asymmetric unit:
Y  0.183  0.317  0.000 x4
Ni  0.120  0.620  0.500 x4
Pt  0.000  0.000  0.500 x2

Summary:
* DFT formation energy: -0.653 eV per atom
* total magnetic moment: 0.00 μB per formula unit

=====

# 3
DFT (GGA-PBEsol) results for crystalline YNiPt at its relaxed geometry.

a = 4.1379 Å, b = 4.1379 Å, c = 3.7210 Å
α = 90.00°, β = 90.00°, γ = 120.00°
Space group P-6m2 (No. 187)
Asymmetric unit:
Y  0.0000  0.0000  0.0000 x1
Ni  0.3333  0.6667  0.5000 x1
Pt  0.6667  0.3333  0.5000 x1

Summary:
* DFT formation energy: -0.734 eV per atom
* total magnetic moment: 0.31 μB per formula unit

=====

# 4
DFT (GGA-PBEsol) results for crystalline ZnNiPt2 at its relaxed geometry.

a = 8.606 Å, b = 2.726 Å, c = 4.688 Å
α = 90.00°, β = 100.64°, γ = 90.00°
Space group C2/m (No. 12)
Asymmetric unit:
Zn  0.000  0.000  0.000 x2
Ni  0.000  0.500  0.500 x2
Pt  0.250  0.000  0.746 x4

Summary:
* DFT formation energy: -0.260 eV per atom
* total magnetic moment: 0.31 μB per formula unit

=====

# 5
DFT (GGA-PBEsol) results for crystalline ZnNi6Pt at its relaxed geometry.

a = 7.113 Å, b = 10.067 Å, c = 10.061 Å
α = 90.00°, β = 90.00°, γ = 90.00°
Space group Cmmm (No. 65)
Asymmetric unit:
Zn  0.000  0.000  0.247 x4
Zn  0.000  0.250  0.000 x4
Ni  0.000  0.000  0.000 x2
Ni  0.000  0.000  0.500 x2
Ni  0.000  0.249  0.247 x8
Ni  0.000  0.500  0.000 x2
Ni  0.000  0.500  0.500 x2
Ni  0.248  0.124  0.372 x16
Ni  0.248  0.126  0.123 x16
Pt  0.000  0.249  0.500 x4
Pt  0.000  0.500  0.248 x4

Summary:
* DFT formation energy: -0.101 eV per atom
* total magnetic moment: 2.99 μB per formula unit

=====

# 6
DFT (GGA-PBEsol) results for crystalline ZnNiPt2 at its relaxed geometry.

a = 8.968 Å, b = 2.733 Å, c = 4.496 Å
α = 90.00°, β = 103.57°, γ = 90.00°
Space group Cm (No. 8)
Asymmetric unit:
Zn  0.000  0.000  0.000 x2
Ni  0.263  0.000  0.719 x2
Pt  0.015  0.500  0.518 x2
Pt  0.253  0.500  0.213 x2

Summary:
* DFT formation energy: -0.267 eV per atom
* total magnetic moment: 0.47 μB per formula unit

=====

# 7
DFT (GGA-PBEsol) results for crystalline Zn2NiPt at its relaxed geometry.

a = 3.713 Å, b = 3.713 Å, c = 7.513 Å
α = 90.00°, β = 90.00°, γ = 90.00°
Space group I-4m2 (No. 119)
Asymmetric unit:
Zn  0.000  0.000  0.000 x2
Zn  0.000  0.500  0.250 x2
Ni  0.000  0.000  0.500 x2
Pt  0.000  0.500  0.750 x2

Summary:
* DFT formation energy: -0.322 eV per atom
* total magnetic moment: 0.00 μB per formula unit

=====

# 8
DFT (GGA-PBEsol) results for crystalline ZnNiPt2 at its relaxed geometry.

a = 2.748 Å, b = 3.552 Å, c = 5.501 Å
α = 90.00°, β = 90.00°, γ = 90.00°
Space group Pmmm (No. 47)
Asymmetric unit:
Zn  0.000  0.000  0.000 x1
Ni  0.000  0.000  0.500 x1
Pt  0.500  0.500  0.255 x2

Summary:
* DFT formation energy: -0.288 eV per atom
* total magnetic moment: 0.95 μB per formula unit